Material: Ho3MgTe
Method: DFT, PBE
State: relaxed

```
Ho3MgTe
1.0
-1.390 -1.986 4.589
6.371 1.304 -0.441
-1.250 8.751 3.408
Ho Te Mg
6 2 2
direct
0.864 0.728 0.430 Ho
0.136 0.272 0.570 Ho
0.090 0.179 0.154 Ho
0.607 0.214 0.871 Ho
0.393 0.786 0.129 Ho
0.910 0.821 0.846 Ho
0.251 0.502 0.852 Te
0.749 0.498 0.148 Te
0.568 0.137 0.376 Mg
0.432 0.863 0.624 Mg
```

Computed properties:
ΔE_f (raw): -0.35 eV per atom
V: 29.380 Å³/atom
Crystal system: monoclinic